# ScTc | Alexandria via LeMat-Bulk | PBE-GGA | optimized geometry
# formation enthalpy at 0 K: 427 meV/atom
# calculated total energy: -7.9222 eV/atom
data_ScTc
_space_group_name_H-M_alt 'P 63/m'
_space_group_IT_number 176
_space_group_name_Hall '-P 6c'
_cell_length_a 9.5581
_cell_length_b 9.5581
_cell_length_c 3.0289
_cell_angle_alpha 90.00
_cell_angle_beta 90.00
_cell_angle_gamma 120.00
loop_
_atom_site_label
_atom_site_type_symbol
_atom_site_fract_x
_atom_site_fract_y
_atom_site_fract_z
Sc1 Sc 0.0729 0.3265 0.2500
Tc1 Tc 0.1428 0.6121 0.2500